Computed, not measured: a relaxed MnAlGa2Te6 crystal at the PBE level of DFT.

Cell and atoms, written as POSCAR:
```
MnAlGa2Te6
1.0
6.743 -6.190 0.000
6.743 6.190 0.000
-1.296 0.000 7.075
Mn Al Ga Te
2 2 4 12
Direct
0.093 0.907 0.750
0.907 0.093 0.250
0.254 0.746 0.250
0.746 0.254 0.750
0.226 0.410 0.712
0.410 0.226 0.212
0.590 0.774 0.788
0.774 0.590 0.288
0.027 0.193 0.619
0.100 0.644 0.905
0.193 0.027 0.119
0.274 0.466 0.374
0.356 0.900 0.595
0.466 0.274 0.874
0.534 0.726 0.126
0.644 0.100 0.405
0.726 0.534 0.626
0.807 0.973 0.881
0.900 0.356 0.095
0.973 0.807 0.381
```

Magnetic moment in μB/cell: 8.00
DOS(E_F) in states/eV/f.u.: 3.0
SG: C2/c
Electronic total energy in eV per cell: -80.10
ΔE_f (raw) in meV/atom: -223


Computed, not measured: a relaxed NiC2S2 crystal at the PBE level of DFT.

Cell and atoms, written as POSCAR:
```
NiC2S2
1.0
-2.449 2.449 2.520
2.449 -2.449 2.520
2.449 2.449 -2.520
Ni C S
1 2 2
Direct
0.000 0.000 0.000
0.368 0.368 0.000
0.632 0.632 0.000
0.250 0.750 0.500
0.750 0.250 0.500
```

Magnetic moment in μB/cell: 0.00
DOS(E_F) in states/eV/f.u.: 4.4
SG: I4/mmm
Electronic total energy in eV per cell: -25.78
Polymorph energy (0 for the lowest one) in meV/atom: 92.9
ΔE_f (raw) in meV/atom: 1341


Which formula does entry 2 have? NiC2S2


Which value of magnetic moment does entry 2 give? 0.00 μB/cell